First-principles (PBE-GGA) data for crystalline LiPuAs2 at its relaxed geometry, as listed in Alexandria.

Formation energy from the elements = -607 meV/atom
Calculated density = 8.4 Mg/m³
Energy above the lowest structure with this stoichiometry = 177.4 meV/atom
Size of the total moment = 1.223 μB per atom

Cell: 4.825 4.825 4.825 Å, 60.00 60.00 60.00°
Last column: magnetic moment on the atom in μB.
Atoms (fractional coordinates):
As1 0.750 0.750 0.750  -0.05
As2 0.250 0.250 0.250  -0.05
Li1 0.500 0.500 0.500  -0.01
Pu1 0.000 0.000 0.000  4.99